No. 1
! Ag2BiBrO2 (PBE, optimized geometry); values from VASP
&SYSTEM
  ibrav = 0, nat = 12, ntyp = 4
/
ATOMIC_SPECIES
O 16.00 O.upf
Ag 107.87 Ag.upf
Bi 208.98 Bi.upf
Br 79.90 Br.upf
CELL_PARAMETERS angstrom
5.659 0.000 0.000
0.000 5.715 0.289
0.000 -1.882 7.731
ATOMIC_POSITIONS crystal
O 0.999 0.172 0.142
Ag 0.750 0.488 0.270
Ag 0.750 0.798 0.607
Bi 0.750 0.874 0.073
O 0.501 0.172 0.142
O 0.001 0.828 0.858
O 0.499 0.828 0.858
Bi 0.250 0.126 0.927
Br 0.250 0.718 0.421
Ag 0.250 0.512 0.730
Ag 0.250 0.202 0.393
Br 0.750 0.282 0.579
! - Energy relative to the elements, uncorrected: -0.54 eV/atom

---

No. 2
! RbAgBiBr5 (PBE, optimized geometry); values from VASP
&SYSTEM
  ibrav = 0, nat = 16, ntyp = 4
/
ATOMIC_SPECIES
Br 79.90 Br.upf
Bi 208.98 Bi.upf
Rb 85.47 Rb.upf
Ag 107.87 Ag.upf
CELL_PARAMETERS angstrom
8.141 -0.141 -0.031
-2.512 7.745 -0.031
-2.362 -3.190 10.049
ATOMIC_POSITIONS crystal
Br 0.749 0.626 0.439
Br 0.374 0.251 0.061
Bi 0.000 0.000 0.000
Br 0.690 0.090 0.404
Rb 0.649 0.351 0.750
Rb 0.351 0.649 0.250
Br 0.310 0.910 0.596
Ag 0.691 0.309 0.250
Br 0.910 0.310 0.096
Ag 0.309 0.691 0.750
Br 0.626 0.749 0.939
Bi 0.000 0.000 0.500
Br 0.081 0.919 0.250
Br 0.919 0.081 0.750
Br 0.090 0.690 0.904
Br 0.251 0.374 0.561
! - Energy relative to the elements, uncorrected: -0.90 eV/atom

---

No. 3
! Rb3Ag2BiBr8 (PBE, optimized geometry); values from VASP
&SYSTEM
  ibrav = 0, nat = 14, ntyp = 4
/
ATOMIC_SPECIES
Br 79.90 Br.upf
Bi 208.98 Bi.upf
Rb 85.47 Rb.upf
Ag 107.87 Ag.upf
CELL_PARAMETERS angstrom
-7.105 0.827 3.441
0.645 -3.887 -6.891
1.442 -8.781 5.088
ATOMIC_POSITIONS crystal
Br 0.833 0.167 0.668
Br 0.833 0.665 0.668
Br 0.167 0.833 0.332
Br 0.167 0.335 0.332
Br 0.667 0.333 0.068
Bi 0.000 0.000 0.500
Rb 0.333 0.667 0.614
Rb 0.667 0.333 0.386
Br 0.665 0.833 0.332
Rb 0.000 0.000 0.000
Br 0.335 0.167 0.668
Br 0.333 0.667 0.932
Ag 0.667 0.333 0.822
Ag 0.333 0.667 0.178
! - Energy relative to the elements, uncorrected: -1.02 eV/atom

---

No. 4
! Rb4Ag3BiBr12 (PBE, optimized geometry); values from VASP
&SYSTEM
  ibrav = 0, nat = 20, ntyp = 4
/
ATOMIC_SPECIES
Br 79.90 Br.upf
Ag 107.87 Ag.upf
Rb 85.47 Rb.upf
Bi 208.98 Bi.upf
CELL_PARAMETERS angstrom
-8.215 5.036 0.630
-1.769 -8.537 -4.152
3.599 -1.409 8.849
ATOMIC_POSITIONS crystal
Br 0.253 0.253 0.000
Br 0.000 0.253 0.253
Ag 0.000 0.500 0.500
Rb 0.000 0.500 0.000
Br 0.500 0.250 0.750
Bi 0.000 0.000 0.000
Br 0.500 0.750 0.250
Rb 0.500 0.500 0.500
Br 0.747 0.000 0.747
Br 0.253 0.000 0.253
Br 0.250 0.500 0.750
Rb 0.000 0.000 0.500
Br 0.747 0.747 0.000
Ag 0.500 0.500 0.000
Ag 0.500 0.000 0.500
Br 0.250 0.750 0.500
Br 0.750 0.500 0.250
Rb 0.500 0.000 0.000
Br 0.000 0.747 0.747
Br 0.750 0.250 0.500
! - Energy relative to the elements, uncorrected: -0.96 eV/atom